A:
This record from Alexandria via LeMat-Bulk describes Mo4Os3 after structural relaxation. The functional is PBE.

SG: No. 191
Total magnetization in μB/f.u.: 0.0
Density of states at the Fermi level in states/eV/cell: 7.12
Density in g cm⁻³: 14.46

Cell lengths 5.114, 5.114, 4.838 Å; angles 90.00, 90.00, 120.00 degrees
Sites, in units of the cell vectors:
Mo1 0.000 0.000 0.241
Mo2 0.000 0.000 0.759
Mo3 0.333 0.667 0.000
Mo4 0.667 0.333 0.000
Os1 0.000 0.500 0.500
Os2 0.500 0.000 0.500
Os3 0.500 0.500 0.500

=====

B:
This record from Alexandria via LeMat-Bulk describes Mo4Os3 after structural relaxation. The functional is PBE.

SG: No. 139
Total magnetization in μB/f.u.: 0.0
Density of states at the Fermi level in states/eV/cell: 16.31
Density in g cm⁻³: 14.66

Cell lengths 3.208, 3.208, 21.019 Å; angles 90.00, 90.00, 90.00 degrees
Sites, in units of the cell vectors:
Mo1 0.000 0.000 0.073
Mo2 0.000 0.000 0.352
Mo3 0.000 0.000 0.648
Mo4 0.000 0.000 0.927
Mo5 0.500 0.500 0.148
Mo6 0.500 0.500 0.427
Mo7 0.500 0.500 0.573
Mo8 0.500 0.500 0.852
Os1 0.000 0.000 0.210
Os2 0.000 0.000 0.500
Os3 0.000 0.000 0.790
Os4 0.500 0.500 0.000
Os5 0.500 0.500 0.290
Os6 0.500 0.500 0.710

=====

It is B that is the least stable of them.

=====

A:
This record from Alexandria via LeMat-Bulk describes Mo5Os3 after structural relaxation. The functional is PBE.

SG: No. 193
Total magnetization in μB/f.u.: 0.0
Density of states at the Fermi level in states/eV/cell: 17.30
Density in g cm⁻³: 13.72

Cell lengths 7.653, 7.653, 5.013 Å; angles 90.00, 90.00, 120.00 degrees
Sites, in units of the cell vectors:
Mo1 0.000 0.223 0.250
Mo2 0.000 0.777 0.750
Mo3 0.223 0.000 0.250
Mo4 0.223 0.223 0.750
Mo5 0.333 0.667 0.000
Mo6 0.333 0.667 0.500
Mo7 0.667 0.333 0.000
Mo8 0.667 0.333 0.500
Mo9 0.777 0.000 0.750
Mo10 0.777 0.777 0.250
Os1 0.000 0.421 0.750
Os2 0.000 0.579 0.250
Os3 0.421 0.000 0.750
Os4 0.421 0.421 0.250
Os5 0.579 0.000 0.250
Os6 0.579 0.579 0.750

=====

B:
This record from Alexandria via LeMat-Bulk describes Mo5Os3 after structural relaxation. The functional is PBE.

SG: No. 65
Total magnetization in μB/f.u.: 0.0
Density of states at the Fermi level in states/eV/cell: 14.15
Density in g cm⁻³: 14.22

Cell lengths 7.864, 7.892, 3.952 Å; angles 90.00, 90.00, 90.00 degrees
Sites, in units of the cell vectors:
Mo1 0.000 0.000 0.000
Mo2 0.000 0.258 0.500
Mo3 0.000 0.742 0.500
Mo4 0.250 0.250 0.000
Mo5 0.250 0.750 0.000
Mo6 0.500 0.242 0.500
Mo7 0.500 0.500 0.000
Mo8 0.500 0.758 0.500
Mo9 0.750 0.250 0.000
Mo10 0.750 0.750 0.000
Os1 0.000 0.500 0.000
Os2 0.250 0.000 0.500
Os3 0.250 0.500 0.500
Os4 0.500 0.000 0.000
Os5 0.750 0.000 0.500
Os6 0.750 0.500 0.500

=====

It is A that is the least stable of them.

=====

A:
This record from Alexandria via LeMat-Bulk describes MoP3Os after structural relaxation. The functional is PBE.

SG: No. 221
Total magnetization in μB/f.u.: 2.6
Density of states at the Fermi level in states/eV/cell: 4.48
Density in g cm⁻³: 6.54

Cell lengths 4.583, 4.583, 4.583 Å; angles 90.00, 90.00, 90.00 degrees
Sites, in units of the cell vectors:
Mo1 0.000 0.000 0.000
P1 0.000 0.500 0.500
P2 0.500 0.000 0.500
P3 0.500 0.500 0.000
Os1 0.500 0.500 0.500

=====

B:
This record from Alexandria via LeMat-Bulk describes MoP3Os after structural relaxation. The functional is PBE.

SG: No. 221
Total magnetization in μB/f.u.: 1.9
Density of states at the Fermi level in states/eV/cell: 5.70
Density in g cm⁻³: 6.44

Cell lengths 4.608, 4.608, 4.608 Å; angles 90.00, 90.00, 90.00 degrees
Sites, in units of the cell vectors:
Mo1 0.000 0.000 0.000
P1 0.000 0.000 0.500
P2 0.000 0.500 0.000
P3 0.500 0.000 0.000
Os1 0.500 0.500 0.500

=====

It is B that is the least stable of them.

=====

A:
This record from Alexandria via LeMat-Bulk describes Mo3POs after structural relaxation. The functional is PBE.

SG: No. 221
Total magnetization in μB/f.u.: 1.4
Density of states at the Fermi level in states/eV/cell: 6.62
Density in g cm⁻³: 7.92

Cell lengths 4.743, 4.743, 4.743 Å; angles 90.00, 90.00, 90.00 degrees
Sites, in units of the cell vectors:
Mo1 0.000 0.000 0.500
Mo2 0.000 0.500 0.000
Mo3 0.500 0.000 0.000
P1 0.500 0.500 0.500
Os1 0.000 0.000 0.000

=====

B:
This record from Alexandria via LeMat-Bulk describes Mo3POs after structural relaxation. The functional is PBE.

SG: No. 221
Total magnetization in μB/f.u.: 0.0
Density of states at the Fermi level in states/eV/cell: 5.39
Density in g cm⁻³: 10.08

Cell lengths 4.376, 4.376, 4.376 Å; angles 90.00, 90.00, 90.00 degrees
Sites, in units of the cell vectors:
Mo1 0.000 0.000 0.500
Mo2 0.000 0.500 0.000
Mo3 0.500 0.000 0.000
P1 0.000 0.000 0.000
Os1 0.500 0.500 0.500

=====

It is A that is the least stable of them.

=====

A:
This record from Alexandria via LeMat-Bulk describes PaMoOs2 after structural relaxation. The functional is PBE.

SG: No. 123
Total magnetization in μB/f.u.: 0.0
Density of states at the Fermi level in states/eV/cell: 2.03
Density in g cm⁻³: 16.88

Cell lengths 3.047, 3.047, 7.493 Å; angles 90.00, 90.00, 90.00 degrees
Sites, in units of the cell vectors:
Pa1 0.000 0.000 0.000
Mo1 0.000 0.000 0.500
Os1 0.500 0.500 0.288
Os2 0.500 0.500 0.712

=====

B:
This record from Alexandria via LeMat-Bulk describes PaMoOs2 after structural relaxation. The functional is PBE.

SG: No. 166
Total magnetization in μB/f.u.: 0.0
Density of states at the Fermi level in states/eV/cell: 14.05
Density in g cm⁻³: 15.22

Cell lengths 4.228, 4.228, 14.953 Å; angles 90.00, 90.00, 120.00 degrees
Sites, in units of the cell vectors:
Pa1 0.000 0.000 0.000
Pa2 0.333 0.667 0.667
Pa3 0.667 0.333 0.333
Mo1 0.000 0.000 0.500
Mo2 0.333 0.667 0.167
Mo3 0.667 0.333 0.833
Os1 0.000 0.000 0.221
Os2 0.000 0.000 0.779
Os3 0.333 0.667 0.446
Os4 0.333 0.667 0.888
Os5 0.667 0.333 0.112
Os6 0.667 0.333 0.554

=====

It is B that is the least stable of them.

=====

A:
This record from Alexandria via LeMat-Bulk describes MoOsPb3 after structural relaxation. The functional is PBE.

SG: No. 221
Total magnetization in μB/f.u.: 4.1
Density of states at the Fermi level in states/eV/cell: 2.97
Density in g cm⁻³: 10.23

Cell lengths 5.283, 5.283, 5.283 Å; angles 90.00, 90.00, 90.00 degrees
Sites, in units of the cell vectors:
Mo1 0.000 0.000 0.000
Os1 0.500 0.500 0.500
Pb1 0.000 0.500 0.500
Pb2 0.500 0.000 0.500
Pb3 0.500 0.500 0.000

=====

B:
This record from Alexandria via LeMat-Bulk describes MoOsPb3 after structural relaxation. The functional is PBE.

SG: No. 221
Total magnetization in μB/f.u.: 4.0
Density of states at the Fermi level in states/eV/cell: 5.11
Density in g cm⁻³: 9.91

Cell lengths 5.338, 5.338, 5.338 Å; angles 90.00, 90.00, 90.00 degrees
Sites, in units of the cell vectors:
Mo1 0.000 0.000 0.000
Os1 0.500 0.500 0.500
Pb1 0.000 0.000 0.500
Pb2 0.000 0.500 0.000
Pb3 0.500 0.000 0.000

=====

It is B that is the least stable of them.

=====

A:
This record from Alexandria via LeMat-Bulk describes MoOsPb2 after structural relaxation. The functional is PBE.

SG: No. 225
Total magnetization in μB/f.u.: 1.5
Density of states at the Fermi level in states/eV/cell: 20.96
Density in g cm⁻³: 14.99

Cell lengths 6.770, 6.770, 6.770 Å; angles 90.00, 90.00, 90.00 degrees
Sites, in units of the cell vectors:
Mo1 0.000 0.000 0.000
Mo2 0.000 0.500 0.500
Mo3 0.500 0.000 0.500
Mo4 0.500 0.500 0.000
Os1 0.000 0.000 0.500
Os2 0.000 0.500 0.000
Os3 0.500 0.000 0.000
Os4 0.500 0.500 0.500
Pb1 0.250 0.250 0.250
Pb2 0.250 0.250 0.750
Pb3 0.250 0.750 0.250
Pb4 0.250 0.750 0.750
Pb5 0.750 0.250 0.250
Pb6 0.750 0.250 0.750
Pb7 0.750 0.750 0.250
Pb8 0.750 0.750 0.750

=====

B:
This record from Alexandria via LeMat-Bulk describes MoOsPb2 after structural relaxation. The functional is PBE.

SG: No. 65
Total magnetization in μB/f.u.: 0.0
Density of states at the Fermi level in states/eV/cell: 9.10
Density in g cm⁻³: 14.37

Cell lengths 3.291, 5.397, 9.114 Å; angles 90.00, 90.00, 90.00 degrees
Sites, in units of the cell vectors:
Mo1 0.000 0.000 0.000
Mo2 0.500 0.500 0.000
Os1 0.000 0.000 0.500
Os2 0.500 0.500 0.500
Pb1 0.000 0.500 0.256
Pb2 0.000 0.500 0.744
Pb3 0.500 0.000 0.256
Pb4 0.500 0.000 0.744

=====

It is B that is the least stable of them.

=====

A:
This record from Alexandria via LeMat-Bulk describes MoOsPb2 after structural relaxation. The functional is PBE.

SG: No. 123
Total magnetization in μB/f.u.: 1.5
Density of states at the Fermi level in states/eV/cell: 3.41
Density in g cm⁻³: 14.91

Cell lengths 3.352, 3.352, 6.944 Å; angles 90.00, 90.00, 90.00 degrees
Sites, in units of the cell vectors:
Mo1 0.000 0.000 0.000
Os1 0.000 0.000 0.500
Pb1 0.500 0.500 0.257
Pb2 0.500 0.500 0.743

=====

B:
This record from Alexandria via LeMat-Bulk describes MoOsPb2 after structural relaxation. The functional is PBE.

SG: No. 8
Total magnetization in μB/f.u.: 0.0
Density of states at the Fermi level in states/eV/cell: 3.60
Density in g cm⁻³: 11.81

Cell lengths 8.282, 3.177, 7.545 Å; angles 90.00, 97.16, 90.00 degrees
Sites, in units of the cell vectors:
Mo1 0.000 0.000 0.000
Mo2 0.500 0.500 0.000
Os1 0.274 0.000 0.900
Os2 0.774 0.500 0.900
Pb1 0.029 0.500 0.643
Pb2 0.244 0.500 0.258
Pb3 0.529 0.000 0.643
Pb4 0.744 0.000 0.258

=====

C:
This record from Alexandria via LeMat-Bulk describes MoOsPb2 after structural relaxation. The functional is PBE.

SG: No. 122
Total magnetization in μB/f.u.: 1.6
Density of states at the Fermi level in states/eV/cell: 16.02
Density in g cm⁻³: 13.14

Cell lengths 7.868, 7.868, 5.723 Å; angles 90.00, 90.00, 90.00 degrees
Sites, in units of the cell vectors:
Mo1 0.000 0.000 0.000
Mo2 0.000 0.500 0.250
Mo3 0.500 0.000 0.750
Mo4 0.500 0.500 0.500
Os1 0.000 0.000 0.500
Os2 0.000 0.500 0.750
Os3 0.500 0.000 0.250
Os4 0.500 0.500 0.000
Pb1 0.227 0.750 0.625
Pb2 0.250 0.227 0.375
Pb3 0.250 0.273 0.875
Pb4 0.273 0.750 0.125
Pb5 0.727 0.250 0.125
Pb6 0.750 0.727 0.875
Pb7 0.750 0.773 0.375
Pb8 0.773 0.250 0.625

=====

D:
This record from Alexandria via LeMat-Bulk describes MoOsPb2 after structural relaxation. The functional is PBE.

SG: No. 47
Total magnetization in μB/f.u.: 1.1
Density of states at the Fermi level in states/eV/cell: 4.38
Density in g cm⁻³: 14.28

Cell lengths 3.305, 4.551, 5.414 Å; angles 90.00, 90.00, 90.00 degrees
Sites, in units of the cell vectors:
Mo1 0.000 0.000 0.000
Os1 0.500 0.000 0.500
Pb1 0.000 0.500 0.500
Pb2 0.500 0.500 0.000

=====

It is C that is the least stable of them.

=====

A:
This record from Alexandria via LeMat-Bulk describes TlMoOs2Pb after structural relaxation. The functional is PBE.

SG: No. 123
Total magnetization in μB/f.u.: 0.5
Density of states at the Fermi level in states/eV/cell: 5.83
Density in g cm⁻³: 11.91

Cell lengths 4.789, 4.789, 5.396 Å; angles 90.00, 90.00, 90.00 degrees
Sites, in units of the cell vectors:
Tl1 0.000 0.000 0.000
Mo1 0.500 0.500 0.500
Os1 0.000 0.500 0.500
Os2 0.500 0.000 0.500
Pb1 0.500 0.500 0.000

=====

B:
This record from Alexandria via LeMat-Bulk describes TlMoOs2Pb after structural relaxation. The functional is PBE.

SG: No. 123
Total magnetization in μB/f.u.: 3.6
Density of states at the Fermi level in states/eV/cell: 7.14
Density in g cm⁻³: 11.46

Cell lengths 5.001, 5.001, 5.144 Å; angles 90.00, 90.00, 90.00 degrees
Sites, in units of the cell vectors:
Tl1 0.000 0.000 0.000
Mo1 0.500 0.500 0.000
Os1 0.000 0.500 0.500
Os2 0.500 0.000 0.500
Pb1 0.500 0.500 0.500

=====

It is B that is the least stable of them.

=====

A:
This record from Alexandria via LeMat-Bulk describes YMoOs2Pb after structural relaxation. The functional is PBE.

SG: No. 123
Total magnetization in μB/f.u.: 0.3
Density of states at the Fermi level in states/eV/cell: 10.36
Density in g cm⁻³: 10.25

Cell lengths 4.823, 4.823, 5.378 Å; angles 90.00, 90.00, 90.00 degrees
Sites, in units of the cell vectors:
Y1 0.000 0.000 0.000
Mo1 0.500 0.500 0.500
Os1 0.000 0.500 0.000
Os2 0.500 0.000 0.000
Pb1 0.000 0.000 0.500

=====

B:
This record from Alexandria via LeMat-Bulk describes YMoOs2Pb after structural relaxation. The functional is PBE.

SG: No. 123
Total magnetization in μB/f.u.: 0.0
Density of states at the Fermi level in states/eV/cell: 5.64
Density in g cm⁻³: 10.72

Cell lengths 4.769, 4.769, 5.258 Å; angles 90.00, 90.00, 90.00 degrees
Sites, in units of the cell vectors:
Y1 0.000 0.000 0.000
Mo1 0.000 0.000 0.500
Os1 0.000 0.500 0.500
Os2 0.500 0.000 0.500
Pb1 0.500 0.500 0.000

=====

It is A that is the least stable of them.

=====

A:
This record from Alexandria via LeMat-Bulk describes MoOsPd after structural relaxation. The functional is PBE.

SG: No. 63
Total magnetization in μB/f.u.: 0.0
Density of states at the Fermi level in states/eV/cell: 10.23
Density in g cm⁻³: 14.49

Cell lengths 2.794, 14.528, 4.434 Å; angles 90.00, 90.00, 90.00 degrees
Sites, in units of the cell vectors:
Mo1 0.000 0.115 0.250
Mo2 0.000 0.885 0.750
Mo3 0.500 0.385 0.750
Mo4 0.500 0.615 0.250
Os1 0.000 0.225 0.750
Os2 0.000 0.775 0.250
Os3 0.500 0.275 0.250
Os4 0.500 0.725 0.750
Pd1 0.000 0.445 0.250
Pd2 0.000 0.555 0.750
Pd3 0.500 0.055 0.750
Pd4 0.500 0.945 0.250

=====

B:
This record from Alexandria via LeMat-Bulk describes MoOsPd after structural relaxation. The functional is PBE.

SG: No. 156
Total magnetization in μB/f.u.: 0.0
Density of states at the Fermi level in states/eV/cell: 3.25
Density in g cm⁻³: 14.28

Cell lengths 4.455, 4.455, 2.657 Å; angles 90.00, 90.00, 120.00 degrees
Sites, in units of the cell vectors:
Mo1 0.000 0.000 0.000
Os1 0.667 0.333 0.497
Pd1 0.333 0.667 0.500

=====

C:
This record from Alexandria via LeMat-Bulk describes MoOsPd after structural relaxation. The functional is PBE.

SG: No. 107
Total magnetization in μB/f.u.: 0.0
Density of states at the Fermi level in states/eV/cell: 4.92
Density in g cm⁻³: 14.29

Cell lengths 2.787, 2.787, 11.744 Å; angles 90.00, 90.00, 90.00 degrees
Sites, in units of the cell vectors:
Mo1 0.000 0.000 0.000
Mo2 0.500 0.500 0.500
Os1 0.000 0.000 0.652
Os2 0.500 0.500 0.152
Pd1 0.000 0.000 0.326
Pd2 0.500 0.500 0.826

=====

It is B that is the least stable of them.

=====

A:
This record from Alexandria via LeMat-Bulk describes Mo2Os2Pd after structural relaxation. The functional is PBE.

SG: No. 127
Total magnetization in μB/f.u.: 0.0
Density of states at the Fermi level in states/eV/cell: 6.90
Density in g cm⁻³: 14.12

Cell lengths 7.449, 7.449, 2.877 Å; angles 90.00, 90.00, 90.00 degrees
Sites, in units of the cell vectors:
Mo1 0.163 0.337 0.000
Mo2 0.337 0.837 0.000
Mo3 0.663 0.163 0.000
Mo4 0.837 0.663 0.000
Os1 0.134 0.634 0.500
Os2 0.366 0.134 0.500
Os3 0.634 0.866 0.500
Os4 0.866 0.366 0.500
Pd1 0.000 0.000 0.500
Pd2 0.500 0.500 0.500

=====

B:
This record from Alexandria via LeMat-Bulk describes Mo2Os2Pd after structural relaxation. The functional is PBE.

SG: No. 127
Total magnetization in μB/f.u.: 0.0
Density of states at the Fermi level in states/eV/cell: 6.90
Density in g cm⁻³: 13.96

Cell lengths 7.557, 7.557, 2.827 Å; angles 90.00, 90.00, 90.00 degrees
Sites, in units of the cell vectors:
Mo1 0.145 0.355 0.000
Mo2 0.355 0.855 0.000
Mo3 0.645 0.145 0.000
Mo4 0.855 0.645 0.000
Os1 0.149 0.649 0.500
Os2 0.351 0.149 0.500
Os3 0.649 0.851 0.500
Os4 0.851 0.351 0.500
Pd1 0.000 0.000 0.000
Pd2 0.500 0.500 0.000

=====

It is B that is the least stable of them.